FeRhBr2: optimized geometry, PBE.

Values from the calculation:
distance to the lowest polymorph of the same formula: 0.652 eV/atom
VASP energy: -0.3060 Ry/atom
formation energy (no corrections): 0.626 eV/atom

Lattice parameters (Å, degrees): 5.6814 5.6814 6.6418 64.68 64.68 90.00
Last column: nearest neighbours and their distance in Å.
Fractional positions:
Rh1 0.0000 0.0000 0.0000  4 Br 2.51
Rh2 0.7500 0.2500 0.5000  4 Br 2.51
Fe1 0.5000 0.5000 0.0000  4 Br 2.31
Fe2 0.2500 0.7500 0.5000  4 Br 2.31
Br1 0.5956 0.1250 0.2500  2 Fe 2.31, 2 Rh 2.51
Br2 0.1544 0.6250 0.2500  2 Fe 2.31, 2 Rh 2.51
Br3 0.3750 0.4044 0.7500  2 Fe 2.31, 2 Rh 2.51
Br4 0.8750 0.8456 0.7500  2 Fe 2.31, 2 Rh 2.51

Fe2RhBr: optimized geometry, PBE.

Values from the calculation:
distance to the lowest polymorph of the same formula: 0.000 eV/atom
VASP energy: -0.4561 Ry/atom
formation energy (no corrections): 0.282 eV/atom

Lattice parameters (Å, degrees): 3.0887 3.3625 6.8133 89.99 90.00 90.00
Last column: nearest neighbours and their distance in Å.
Fractional positions:
Br1 0.5000 0.7500 0.7500  4 Fe 2.64
Fe1 0.0000 0.7503 0.0635  1 Fe 2.54, 4 Rh 2.61, 2 Br 2.64
Fe2 0.0000 0.7497 0.4365  1 Fe 2.54, 4 Rh 2.61, 2 Br 2.64
Rh1 0.5000 0.2500 0.2500  8 Fe 2.61

FeRhBr2: optimized geometry, PBE.

Values from the calculation:
distance to the lowest polymorph of the same formula: 0.601 eV/atom
VASP energy: -0.3098 Ry/atom
formation energy (no corrections): 0.575 eV/atom

Lattice parameters (Å, degrees): 6.3123 6.3123 6.3123 145.99 145.99 48.87
Last column: nearest neighbours and their distance in Å.
Fractional positions:
Br1 0.0000 0.0000 0.0000  4 Fe 2.61
Br2 0.2500 0.7500 0.5000  4 Rh 2.61
Fe1 0.5000 0.5000 0.0000  4 Br 2.61
Rh1 0.7500 0.2500 0.5000  4 Br 2.61

FeRhBr2: optimized geometry, PBE.

Values from the calculation:
distance to the lowest polymorph of the same formula: 0.101 eV/atom
VASP energy: -0.3466 Ry/atom
formation energy (no corrections): 0.075 eV/atom

Lattice parameters (Å, degrees): 7.4205 7.4205 3.9853 83.50 83.50 26.84
Last column: nearest neighbours and their distance in Å.
Fractional positions:
Br1 0.1118 0.1118 0.9354  1 Rh 2.48, 2 Fe 2.67
Br2 0.3882 0.3882 0.5646  1 Rh 2.48, 2 Fe 2.67
Fe1 0.7500 0.7500 0.7500  4 Rh 2.63, 4 Br 2.67
Rh1 0.2500 0.2500 0.2500  2 Br 2.48, 4 Fe 2.63

FeRhBr2: optimized geometry, PBE.

Values from the calculation:
distance to the lowest polymorph of the same formula: 0.001 eV/atom
VASP energy: -0.3539 Ry/atom
formation energy (no corrections): -0.025 eV/atom

Lattice parameters (Å, degrees): 3.5805 3.5805 8.3882 77.11 77.11 60.02
Last column: nearest neighbours and their distance in Å.
Fractional positions:
Br1 0.9725 0.9725 0.0956  3 Fe 2.62-2.63
Br2 0.7779 0.7779 0.6528  3 Rh 2.61
Fe1 0.5697 0.5697 0.2951  3 Rh 2.45, 3 Br 2.62-2.63
Rh1 0.1799 0.1799 0.4565  3 Fe 2.45, 3 Br 2.61

Fe2RhBr: optimized geometry, PBE.

Values from the calculation:
distance to the lowest polymorph of the same formula: 0.093 eV/atom
VASP energy: -0.4493 Ry/atom
formation energy (no corrections): 0.375 eV/atom

Lattice parameters (Å, degrees): 4.1797 4.1797 6.5526 85.23 85.23 41.70
Last column: nearest neighbours and their distance in Å.
Fractional positions:
Br1 0.3780 0.3780 0.2189  2 Fe 2.48, 1 Rh 2.57
Fe1 0.9801 0.9801 0.9316  2 Br 2.48, 3 Fe 2.52-2.54, 2 Rh 2.68
Fe2 0.7063 0.7063 0.7502  3 Rh 2.41-2.47, 3 Fe 2.52-2.54
Rh1 0.4355 0.4355 0.5993  5 Fe 2.41-2.68, 1 Br 2.57

FeRhBr: optimized geometry, PBE.

Values from the calculation:
distance to the lowest polymorph of the same formula: 0.111 eV/atom
VASP energy: -0.3983 Ry/atom
formation energy (no corrections): 0.410 eV/atom

Lattice parameters (Å, degrees): 5.7102 5.7107 3.1165 74.16 74.17 31.67
Last column: nearest neighbours and their distance in Å.
Fractional positions:
Br1 0.0078 0.0078 0.9922  4 Fe 2.86-2.87, 5 Rh 3.03-3.19, 4 Br 3.12
Fe1 0.6816 0.6816 0.3184  4 Rh 2.59, 4 Br 2.86-2.87
Rh1 0.3106 0.3106 0.6894  4 Fe 2.59

Fe2RhBr: optimized geometry, PBE.

Values from the calculation:
distance to the lowest polymorph of the same formula: 0.374 eV/atom
VASP energy: -0.4286 Ry/atom
formation energy (no corrections): 0.656 eV/atom

Lattice parameters (Å, degrees): 4.0848 3.8515 3.8515 90.00 90.00 90.00
Last column: nearest neighbours and their distance in Å.
Fractional positions:
Br1 0.5000 0.0000 0.5000  4 Rh 2.72, 8 Fe 2.81
Fe1 0.0000 0.0000 0.0000  4 Fe 2.72, 4 Br 2.81, 4 Rh 2.81
Fe2 0.0000 0.5000 0.5000  4 Fe 2.72, 4 Br 2.81, 4 Rh 2.81
Rh1 0.5000 0.5000 0.0000  4 Br 2.72, 8 Fe 2.81